1.
Ba3TcH SCAN single point on PBEsol structure; E_tot = -30.74 eV/atom; spin magnetization = 0.0 μB/f.u.; symmetry = Pm-3m, No. 221; Fermi-level density of states = 2.98 states/eV/f.u.
1.0
5.760 0.000 0.000
0.000 5.760 0.000
0.000 0.000 5.760
Ba H Tc
3 1 1
direct
0.000 0.000 0.500 Ba
0.000 0.500 0.000 Ba
0.500 0.000 0.000 Ba
0.500 0.500 0.500 H
0.000 0.000 0.000 Tc

---

2.
BaScH2 SCAN single point on PBEsol structure; E_tot = -14.84 eV/atom; spin magnetization = 2.1 μB/f.u.; symmetry = Fm-3m, No. 225; Fermi-level density of states = 2.85 states/eV/f.u.
1.0
4.524 0.000 0.000
2.262 3.918 0.000
2.262 1.306 3.694
Ba H Sc
1 2 1
direct
0.500 0.500 0.500 Ba
0.250 0.250 0.250 H
0.750 0.750 0.750 H
0.000 0.000 0.000 Sc

---

3.
FeAsAu2 SCAN single point on PBEsol structure; E_tot = -44.07 eV/atom; spin magnetization = 3.2 μB/f.u.; formation energy from the elements = 0.09 eV per atom; symmetry = P4/mmm, No. 123; Fermi-level density of states = 1.68 states/eV/f.u.
1.0
2.793 0.000 0.000
0.000 2.793 0.000
0.000 0.000 8.306
Fe Au As
1 2 1
direct
0.500 0.500 0.000 Fe
0.000 0.000 0.223 Au
0.000 0.000 0.777 Au
0.500 0.500 0.500 As

---

4.
MnMo3As SCAN single point on PBEsol structure; E_tot = -27.40 eV/atom; spin magnetization = 0.0 μB/f.u.; formation energy from the elements = 1.22 eV per atom; symmetry = Pm-3m, No. 221; Fermi-level density of states = 6.12 states/eV/f.u.
1.0
-2.089 -3.089 2.348
3.345 -0.082 2.868
-1.966 3.142 2.384
Mo As Mn
3 1 1
direct
0.000 0.500 0.000 Mo
0.000 0.000 0.500 Mo
0.500 0.000 0.000 Mo
0.500 0.500 0.500 As
0.000 0.000 0.000 Mn

---

5.
MgRe2Hg SCAN single point on PBEsol structure; E_tot = -52.98 eV/atom; spin magnetization = 0.0 μB/f.u.; offset from the most stable computed form = 385 meV per atom; formation energy from the elements = 0.86 eV per atom; symmetry = P4/mmm, No. 123; Fermi-level density of states = 3.21 states/eV/f.u.
1.0
3.427 0.000 0.000
0.000 3.427 0.000
0.000 0.000 5.628
Mg Hg Re
1 1 2
direct
0.500 0.500 0.500 Mg
0.500 0.500 0.000 Hg
0.000 0.000 0.286 Re
0.000 0.000 0.714 Re

---

6.
CaLaCd2 SCAN single point on PBEsol structure; E_tot = -28.86 eV/atom; spin magnetization = 0.0 μB/f.u.; offset from the most stable computed form = 27 meV per atom; formation energy from the elements = -0.46 eV per atom; symmetry = P4/mmm, No. 123; Fermi-level density of states = 1.71 states/eV/f.u.
1.0
3.747 0.000 0.000
0.000 5.453 0.000
0.000 0.000 5.453
La Cd Ca
1 2 1
direct
0.500 0.000 0.625 La
0.000 0.000 0.125 Cd
0.000 0.500 0.625 Cd
0.500 0.500 0.125 Ca

---

7.
Sc3Mn3Al7Si5 SCAN single point on PBEsol structure; E_tot = -11.72 eV/atom; spin magnetization = 0.0 μB/f.u.; symmetry = P6_3/mmc, No. 194; Fermi-level density of states = 4.51 states/eV/f.u.
1.0
-0.748 -4.176 7.075
-1.078 -3.868 -7.207
8.659 -1.962 -0.243
Al Mn Si Sc
14 6 10 6
direct
0.164 0.328 0.579 Al
0.164 0.328 0.921 Al
0.836 0.164 0.079 Al
0.672 0.836 0.579 Al
0.164 0.836 0.579 Al
0.836 0.672 0.079 Al
0.836 0.164 0.421 Al
0.672 0.836 0.921 Al
0.164 0.836 0.921 Al
0.000 0.000 0.750 Al
0.836 0.672 0.421 Al
0.328 0.164 0.421 Al
0.000 0.000 0.250 Al
0.328 0.164 0.079 Al
0.000 0.500 0.500 Mn
0.500 0.500 0.500 Mn
0.500 0.000 0.500 Mn
0.000 0.500 0.000 Mn
0.500 0.000 0.000 Mn
0.500 0.500 0.000 Mn
0.333 0.667 0.039 Si
0.559 0.441 0.250 Si
0.333 0.667 0.461 Si
0.667 0.333 0.961 Si
0.441 0.559 0.750 Si
0.559 0.118 0.250 Si
0.441 0.882 0.750 Si
0.667 0.333 0.539 Si
0.118 0.559 0.750 Si
0.882 0.441 0.250 Si
0.200 0.800 0.250 Sc
0.800 0.200 0.750 Sc
0.400 0.200 0.750 Sc
0.200 0.400 0.250 Sc
0.800 0.600 0.750 Sc
0.600 0.800 0.250 Sc

---

8.
ZnFePt4 SCAN single point on PBEsol structure; E_tot = -52.02 eV/atom; spin magnetization = 3.7 μB/f.u.; formation energy from the elements = 0.05 eV per atom; symmetry = F-43m, No. 216; Fermi-level density of states = 5.45 states/eV/f.u.
1.0
-2.005 4.738 -0.244
-1.239 2.040 -4.564
-4.949 0.640 -1.277
Pt Fe Zn
4 1 1
direct
0.375 0.375 0.875 Pt
0.875 0.375 0.375 Pt
0.375 0.875 0.375 Pt
0.375 0.375 0.375 Pt
0.000 0.000 0.000 Fe
0.750 0.750 0.750 Zn

---

What did the third record say?
FeAsAu2 SCAN single point on PBEsol structure; E_tot = -44.07 eV/atom; spin magnetization = 3.2 μB/f.u.; formation energy from the elements = 0.09 eV per atom; symmetry = P4/mmm, No. 123; Fermi-level density of states = 1.68 states/eV/f.u.
1.0
2.793 0.000 0.000
0.000 2.793 0.000
0.000 0.000 8.306
Fe Au As
1 2 1
direct
0.500 0.500 0.000 Fe
0.000 0.000 0.223 Au
0.000 0.000 0.777 Au
0.500 0.500 0.500 As